# Rb2ZnSe2 GGA-PBE relaxed
data_Rb2ZnSe2
_chemical_formula_sum 'Rb4 Zn2 Se4'
_symmetry_space_group_name_H-M 'P 1'
_symmetry_Int_Tables_number 1
_cell_length_a 10.975
_cell_length_b 10.975
_cell_length_c 7.696
_cell_angle_alpha 90.00
_cell_angle_beta 90.00
_cell_angle_gamma 157.71
loop_
_symmetry_equiv_pos_as_xyz
'x,y,z'
loop_
_atom_site_label
_atom_site_type_symbol
_atom_site_fract_x
_atom_site_fract_y
_atom_site_fract_z
_atom_site_occupancy
Rb1 Rb 0.027 0.973 0.500 1
Rb2 Rb 0.198 0.802 0.286 1
Rb3 Rb 0.802 0.198 0.786 1
Rb4 Rb 0.973 0.027 0.000 1
Zn1 Zn 0.369 0.631 0.409 1
Zn2 Zn 0.631 0.369 0.909 1
Se1 Se 0.165 0.835 0.765 1
Se2 Se 0.420 0.580 0.679 1
Se3 Se 0.580 0.420 0.179 1
Se4 Se 0.835 0.165 0.265 1
# SG = Cmc2_1 (36)
# Total energy = -3.004 eV per atom
# E_form (uncorrected) = -0.97 eV per atom



# RbZnSe3 GGA-PBE relaxed
data_RbZnSe3
_chemical_formula_sum 'Rb1 Zn1 Se3'
_symmetry_space_group_name_H-M 'P 1'
_symmetry_Int_Tables_number 1
_cell_length_a 5.135
_cell_length_b 5.135
_cell_length_c 5.135
_cell_angle_alpha 90.00
_cell_angle_beta 90.00
_cell_angle_gamma 90.00
loop_
_symmetry_equiv_pos_as_xyz
'x,y,z'
loop_
_atom_site_label
_atom_site_type_symbol
_atom_site_fract_x
_atom_site_fract_y
_atom_site_fract_z
_atom_site_occupancy
Rb1 Rb 0.000 0.000 0.000 1
Zn1 Zn 0.500 0.500 0.500 1
Se1 Se 0.000 0.500 0.500 1
Se2 Se 0.500 0.000 0.500 1
Se3 Se 0.500 0.500 0.000 1
# SG = Pm-3m (221)
# Total energy = -2.751 eV per atom
# E above lowest polymorph = 0.000 eV per atom
# E_form (uncorrected) = -0.21 eV per atom



# Rb14Zr2Se9 GGA-PBE relaxed
data_Rb14Zr2Se9
_chemical_formula_sum 'Rb14 Zr2 Se9'
_symmetry_space_group_name_H-M 'P 1'
_symmetry_Int_Tables_number 1
_cell_length_a 9.807
_cell_length_b 9.807
_cell_length_c 13.468
_cell_angle_alpha 90.00
_cell_angle_beta 90.00
_cell_angle_gamma 120.00
loop_
_symmetry_equiv_pos_as_xyz
'x,y,z'
loop_
_atom_site_label
_atom_site_type_symbol
_atom_site_fract_x
_atom_site_fract_y
_atom_site_fract_z
_atom_site_occupancy
Rb1 Rb 0.000 0.000 0.245 1
Rb2 Rb 0.000 0.000 0.755 1
Rb3 Rb 0.048 0.680 0.407 1
Rb4 Rb 0.092 0.394 0.099 1
Rb5 Rb 0.302 0.908 0.099 1
Rb6 Rb 0.320 0.369 0.407 1
Rb7 Rb 0.369 0.048 0.593 1
Rb8 Rb 0.394 0.302 0.901 1
Rb9 Rb 0.606 0.698 0.099 1
Rb10 Rb 0.631 0.952 0.407 1
Rb11 Rb 0.680 0.631 0.593 1
Rb12 Rb 0.698 0.092 0.901 1
Rb13 Rb 0.908 0.606 0.901 1
Rb14 Rb 0.952 0.320 0.593 1
Zr1 Zr 0.333 0.667 0.771 1
Zr2 Zr 0.667 0.333 0.229 1
Se1 Se 0.000 0.000 0.500 1
Se2 Se 0.107 0.400 0.835 1
Se3 Se 0.293 0.893 0.835 1
Se4 Se 0.333 0.667 0.579 1
Se5 Se 0.400 0.293 0.165 1
Se6 Se 0.600 0.707 0.835 1
Se7 Se 0.667 0.333 0.421 1
Se8 Se 0.707 0.107 0.165 1
Se9 Se 0.893 0.600 0.165 1
# SG = P-3 (147)
# Total energy = -3.490 eV per atom
# E_form (uncorrected) = -1.01 eV per atom



# RbZrSe3 GGA-PBE relaxed
data_RbZrSe3
_chemical_formula_sum 'Rb1 Zr1 Se3'
_symmetry_space_group_name_H-M 'P 1'
_symmetry_Int_Tables_number 1
_cell_length_a 5.319
_cell_length_b 5.319
_cell_length_c 5.319
_cell_angle_alpha 90.00
_cell_angle_beta 90.00
_cell_angle_gamma 90.00
loop_
_symmetry_equiv_pos_as_xyz
'x,y,z'
loop_
_atom_site_label
_atom_site_type_symbol
_atom_site_fract_x
_atom_site_fract_y
_atom_site_fract_z
_atom_site_occupancy
Rb1 Rb 0.000 0.000 0.000 1
Zr1 Zr 0.500 0.500 0.500 1
Se1 Se 0.000 0.500 0.500 1
Se2 Se 0.500 0.000 0.500 1
Se3 Se 0.500 0.500 0.000 1
# SG = Pm-3m (221)
# Total energy = -5.087 eV per atom
# E above lowest polymorph = 0.073 eV per atom
# E_form (uncorrected) = -1.09 eV per atom



# RbZr3Se GGA-PBE relaxed
data_RbZr3Se
_chemical_formula_sum 'Rb1 Zr3 Se1'
_symmetry_space_group_name_H-M 'P 1'
_symmetry_Int_Tables_number 1
_cell_length_a 5.218
_cell_length_b 5.218
_cell_length_c 5.218
_cell_angle_alpha 90.00
_cell_angle_beta 90.00
_cell_angle_gamma 90.00
loop_
_symmetry_equiv_pos_as_xyz
'x,y,z'
loop_
_atom_site_label
_atom_site_type_symbol
_atom_site_fract_x
_atom_site_fract_y
_atom_site_fract_z
_atom_site_occupancy
Rb1 Rb 0.000 0.000 0.000 1
Zr1 Zr 0.000 0.500 0.500 1
Zr2 Zr 0.500 0.000 0.500 1
Zr3 Zr 0.500 0.500 0.000 1
Se1 Se 0.500 0.500 0.500 1
# SG = Pm-3m (221)
# Total energy = -5.623 eV per atom
# E above lowest polymorph = 0.000 eV per atom
# E_form (uncorrected) = 0.40 eV per atom



# Rb2ZrSe4 GGA-PBE relaxed
data_Rb2ZrSe4
_chemical_formula_sum 'Rb2 Zr1 Se4'
_symmetry_space_group_name_H-M 'P 1'
_symmetry_Int_Tables_number 1
_cell_length_a 7.540
_cell_length_b 4.029
_cell_length_c 8.390
_cell_angle_alpha 90.00
_cell_angle_beta 110.08
_cell_angle_gamma 90.00
loop_
_symmetry_equiv_pos_as_xyz
'x,y,z'
loop_
_atom_site_label
_atom_site_type_symbol
_atom_site_fract_x
_atom_site_fract_y
_atom_site_fract_z
_atom_site_occupancy
Rb1 Rb 0.198 0.000 0.331 1
Rb2 Rb 0.802 0.000 0.669 1
Zr1 Zr 0.500 0.500 0.000 1
Se1 Se 0.112 0.500 0.921 1
Se2 Se 0.414 0.000 0.767 1
Se3 Se 0.586 0.000 0.233 1
Se4 Se 0.888 0.500 0.079 1
# SG = P2/m (10)
# Total energy = -4.475 eV per atom
# E_form (uncorrected) = -0.99 eV per atom



# RbZrSe4 GGA-PBE relaxed
data_RbZrSe4
_chemical_formula_sum 'Rb2 Zr2 Se8'
_symmetry_space_group_name_H-M 'P 1'
_symmetry_Int_Tables_number 1
_cell_length_a 8.400
_cell_length_b 8.400
_cell_length_c 6.859
_cell_angle_alpha 100.96
_cell_angle_beta 100.96
_cell_angle_gamma 122.32
loop_
_symmetry_equiv_pos_as_xyz
'x,y,z'
loop_
_atom_site_label
_atom_site_type_symbol
_atom_site_fract_x
_atom_site_fract_y
_atom_site_fract_z
_atom_site_occupancy
Rb1 Rb 0.143 0.857 0.750 1
Rb2 Rb 0.857 0.143 0.250 1
Zr1 Zr 0.500 0.500 0.250 1
Zr2 Zr 0.500 0.500 0.750 1
Se1 Se 0.159 0.319 0.876 1
Se2 Se 0.305 0.594 0.477 1
Se3 Se 0.319 0.159 0.376 1
Se4 Se 0.406 0.695 0.023 1
Se5 Se 0.594 0.305 0.977 1
Se6 Se 0.681 0.841 0.624 1
Se7 Se 0.695 0.406 0.523 1
Se8 Se 0.841 0.681 0.124 1
# SG = C2/c (15)
# Total energy = -4.822 eV per atom
# E_form (uncorrected) = -0.91 eV per atom



# RbZrSe2 GGA-PBE relaxed
data_RbZrSe2
_chemical_formula_sum 'Rb2 Zr2 Se4'
_symmetry_space_group_name_H-M 'P 1'
_symmetry_Int_Tables_number 1
_cell_length_a 7.253
_cell_length_b 7.253
_cell_length_c 7.253
_cell_angle_alpha 114.45
_cell_angle_beta 114.45
_cell_angle_gamma 99.92
loop_
_symmetry_equiv_pos_as_xyz
'x,y,z'
loop_
_atom_site_label
_atom_site_type_symbol
_atom_site_fract_x
_atom_site_fract_y
_atom_site_fract_z
_atom_site_occupancy
Rb1 Rb 0.000 0.000 0.000 1
Rb2 Rb 0.750 0.250 0.500 1
Zr1 Zr 0.250 0.750 0.500 1
Zr2 Zr 0.500 0.500 0.000 1
Se1 Se 0.214 0.625 0.089 1
Se2 Se 0.375 0.464 0.589 1
Se3 Se 0.536 0.125 0.911 1
Se4 Se 0.875 0.786 0.411 1
# SG = I-42d (122)
# Total energy = -5.183 eV per atom
# E_form (uncorrected) = -1.06 eV per atom



# Rb3Zr5Se12 GGA-PBE relaxed
data_Rb3Zr5Se12
_chemical_formula_sum 'Rb12 Zr20 Se48'
_symmetry_space_group_name_H-M 'P 1'
_symmetry_Int_Tables_number 1
_cell_length_a 15.064
_cell_length_b 15.064
_cell_length_c 15.064
_cell_angle_alpha 109.47
_cell_angle_beta 109.47
_cell_angle_gamma 109.47
loop_
_symmetry_equiv_pos_as_xyz
'x,y,z'
loop_
_atom_site_label
_atom_site_type_symbol
_atom_site_fract_x
_atom_site_fract_y
_atom_site_fract_z
_atom_site_occupancy
Rb1 Rb 0.125 0.250 0.375 1
Rb2 Rb 0.125 0.375 0.750 1
Rb3 Rb 0.250 0.375 0.125 1
Rb4 Rb 0.250 0.875 0.625 1
Rb5 Rb 0.375 0.125 0.250 1
Rb6 Rb 0.375 0.750 0.125 1
Rb7 Rb 0.625 0.250 0.875 1
Rb8 Rb 0.625 0.875 0.750 1
Rb9 Rb 0.750 0.125 0.375 1
Rb10 Rb 0.750 0.625 0.875 1
Rb11 Rb 0.875 0.625 0.250 1
Rb12 Rb 0.875 0.750 0.625 1
Zr1 Zr 0.000 0.000 0.000 1
Zr2 Zr 0.000 0.000 0.500 1
Zr3 Zr 0.000 0.500 0.000 1
Zr4 Zr 0.000 0.500 0.500 1
Zr5 Zr 0.125 0.750 0.875 1
Zr6 Zr 0.125 0.875 0.250 1
Zr7 Zr 0.250 0.125 0.875 1
Zr8 Zr 0.250 0.625 0.375 1
Zr9 Zr 0.375 0.250 0.625 1
Zr10 Zr 0.375 0.625 0.750 1
Zr11 Zr 0.500 0.000 0.000 1
Zr12 Zr 0.500 0.000 0.500 1
Zr13 Zr 0.500 0.500 0.000 1
Zr14 Zr 0.500 0.500 0.500 1
Zr15 Zr 0.625 0.375 0.250 1
Zr16 Zr 0.625 0.750 0.375 1
Zr17 Zr 0.750 0.375 0.625 1
Zr18 Zr 0.750 0.875 0.125 1
Zr19 Zr 0.875 0.125 0.750 1
Zr20 Zr 0.875 0.250 0.125 1
Se1 Se 0.011 0.192 0.105 1
Se2 Se 0.011 0.319 0.906 1
Se3 Se 0.087 0.692 0.681 1
Se4 Se 0.087 0.895 0.406 1
Se5 Se 0.094 0.605 0.413 1
Se6 Se 0.094 0.989 0.681 1
Se7 Se 0.105 0.011 0.192 1
Se8 Se 0.105 0.594 0.913 1
Se9 Se 0.181 0.192 0.587 1
Se10 Se 0.181 0.489 0.594 1
Se11 Se 0.192 0.105 0.011 1
Se12 Se 0.192 0.587 0.181 1
Se13 Se 0.308 0.319 0.913 1
Se14 Se 0.308 0.489 0.395 1
Se15 Se 0.319 0.906 0.011 1
Se16 Se 0.319 0.913 0.308 1
Se17 Se 0.395 0.308 0.489 1
Se18 Se 0.395 0.587 0.906 1
Se19 Se 0.406 0.087 0.895 1
Se20 Se 0.406 0.819 0.511 1
Se21 Se 0.413 0.094 0.605 1
Se22 Se 0.413 0.819 0.808 1
Se23 Se 0.489 0.395 0.308 1
Se24 Se 0.489 0.594 0.181 1
Se25 Se 0.511 0.406 0.819 1
Se26 Se 0.511 0.605 0.692 1
Se27 Se 0.587 0.181 0.192 1
Se28 Se 0.587 0.906 0.395 1
Se29 Se 0.594 0.181 0.489 1
Se30 Se 0.594 0.913 0.105 1
Se31 Se 0.605 0.413 0.094 1
Se32 Se 0.605 0.692 0.511 1
Se33 Se 0.681 0.087 0.692 1
Se34 Se 0.681 0.094 0.989 1
Se35 Se 0.692 0.511 0.605 1
Se36 Se 0.692 0.681 0.087 1
Se37 Se 0.808 0.413 0.819 1
Se38 Se 0.808 0.895 0.989 1
Se39 Se 0.819 0.511 0.406 1
Se40 Se 0.819 0.808 0.413 1
Se41 Se 0.895 0.406 0.087 1
Se42 Se 0.895 0.989 0.808 1
Se43 Se 0.906 0.011 0.319 1
Se44 Se 0.906 0.395 0.587 1
Se45 Se 0.913 0.105 0.594 1
Se46 Se 0.913 0.308 0.319 1
Se47 Se 0.989 0.681 0.094 1
Se48 Se 0.989 0.808 0.895 1
# SG = Ia-3d (230)
# Total energy = -5.501 eV per atom
# E_form (uncorrected) = -1.13 eV per atom